DFT (PBE+U) results for U2CoO6 after structural relaxation.

## Properties
Energy ... -9.07 eV/atom
Density ... 8.7 g/cm3

CIF file:
```
data_U2CoO6
_cell_length_a 9.102
_cell_length_b 9.102
_cell_length_c 5.062
_cell_angle_alpha 90.00
_cell_angle_beta 90.00
_cell_angle_gamma 120.00
_space_group_name_H-M_alt 'P 1'
_space_group_IT_number 1
_space_group_name_Hall 'P 1'
loop_
_atom_site_label
_atom_site_fract_x
_atom_site_fract_y
_atom_site_fract_z
_atom_site_occupancy
O1 0.888 0.772 0.233 1
O2 0.116 0.228 0.767 1
O3 0.439 0.223 0.732 1
O4 0.223 0.439 0.268 1
O5 0.112 0.884 0.767 1
O6 0.216 0.777 0.268 1
O7 0.558 0.452 0.258 1
O8 0.228 0.116 0.233 1
O9 0.561 0.784 0.268 1
O10 0.894 0.442 0.258 1
O11 0.106 0.548 0.742 1
O12 0.452 0.558 0.742 1
O13 0.548 0.106 0.258 1
O14 0.442 0.894 0.742 1
O15 0.777 0.216 0.732 1
O16 0.884 0.112 0.233 1
O17 0.784 0.561 0.732 1
O18 0.772 0.888 0.767 1
U1 0.657 0.000 0.000 1
U2 0.343 0.343 0.000 1
U3 0.677 0.677 0.500 1
U4 0.000 0.323 0.500 1
U5 0.323 0.000 0.500 1
U6 0.000 0.657 0.000 1
Co1 0.667 0.333 0.495 1
Co2 0.000 0.000 0.000 1
Co3 0.333 0.667 0.505 1
```